(P)
! PBE-GGA ZrV3Cu, optimized geometry; values from VASP
! Magnetic moment   3.6 μB/f.u.
! SG   Pm-3m, No. 221
! Crystal system   cubic
&SYSTEM
  ibrav = 0, nat = 5, ntyp = 3
/
ATOMIC_SPECIES
Zr 91.22 Zr.upf
Cu 63.55 Cu.upf
V 50.94 V.upf
ATOMIC_POSITIONS crystal
Zr 0.0000 0.0000 0.0000
Cu 0.5000 0.5000 0.5000
V 0.0000 0.5000 0.0000
V 0.0000 0.0000 0.5000
V 0.5000 0.0000 0.0000
CELL_PARAMETERS angstrom
-0.4038 1.8196 -4.2489
-4.6218 -0.2095 0.3495
-0.0548 4.2629 1.8308

=====

(Q)
! PBE-GGA ZrV3Cu, optimized geometry; values from VASP
! Magnetic moment   3.8 μB/f.u.
! SG   Pm-3m, No. 221
! Crystal system   cubic
&SYSTEM
  ibrav = 0, nat = 5, ntyp = 3
/
ATOMIC_SPECIES
Zr 91.22 Zr.upf
Cu 63.55 Cu.upf
V 50.94 V.upf
ATOMIC_POSITIONS crystal
Zr 0.5000 0.5000 0.5000
Cu 0.0000 0.0000 0.0000
V 0.0000 0.5000 0.0000
V 0.0000 0.0000 0.5000
V 0.5000 0.0000 0.0000
CELL_PARAMETERS angstrom
4.4730 0.0000 0.0000
0.0000 4.4730 0.0000
0.0000 0.0000 4.4730

=====

It is (Q) that is the most stable of them.

=====

(P)
! PBE-GGA ZrVCu, optimized geometry; values from VASP
! Magnetic moment   1.0 μB/f.u.
! SG   I4mm, No. 107
! Crystal system   tetragonal
&SYSTEM
  ibrav = 0, nat = 3, ntyp = 3
/
ATOMIC_SPECIES
Cu 63.55 Cu.upf
Zr 91.22 Zr.upf
V 50.94 V.upf
ATOMIC_POSITIONS crystal
Cu 0.3131 0.3131 0.6263
Zr 0.0019 0.0019 0.0039
V 0.6849 0.6849 0.3699
CELL_PARAMETERS angstrom
3.1317 0.0000 0.0000
0.0000 3.1317 0.0000
-1.5659 -1.5659 5.0555

=====

(Q)
! PBE-GGA ZrVCu, optimized geometry; values from VASP
! Magnetic moment   0.3 μB/f.u.
! SG   Amm2, No. 38
! Crystal system   orthorhombic
&SYSTEM
  ibrav = 0, nat = 12, ntyp = 3
/
ATOMIC_SPECIES
Zr 91.22 Zr.upf
V 50.94 V.upf
Cu 63.55 Cu.upf
ATOMIC_POSITIONS crystal
Zr 0.3259 0.6741 0.1845
Zr 0.6624 0.3376 0.3104
Zr 0.6624 0.3376 0.6896
Zr 0.3259 0.6741 0.8155
V 0.8389 0.1611 0.0000
V 0.1778 0.3454 0.5000
V 0.6546 0.8222 0.5000
V 0.1781 0.8219 0.5000
Cu 0.9997 0.0003 0.2471
Cu 0.9997 0.0003 0.7529
Cu 0.8332 0.6586 0.0000
Cu 0.3414 0.1668 0.0000
CELL_PARAMETERS angstrom
-0.7101 -5.1280 -0.2503
2.7620 2.1722 3.8101
-6.9898 0.7412 4.6443

=====

It is (Q) that is the most stable of them.